(1)
A plane-wave DFT calculation with GGA-PBE was carried out for PmSmIrPt after structural relaxation.

Cell: 5.012 5.012 5.012 Å, 60.00 60.00 60.00°
Sites, in units of the cell vectors:
1 Ir 0.250 0.250 0.250
2 Sm 0.500 0.500 0.500
3 Pt 0.750 0.750 0.750
4 Pm 0.000 0.000 0.000

Density (g/cm3): 12.74
Energy relative to the lowest polymorph listed for this composition (meV per atom): 56
Crystal system: cubic
Calculated total energy (Ry per atom): -0.5118
Size of the total moment (μB per cell): 0.00
Energy relative to the elements (eV per atom): -0.87
Symmetry: F-43m (216)
DOS(E_F) (states/eV/atom): 0.551

(2)
A plane-wave DFT calculation with GGA-PBE was carried out for ZrBAs2Se after structural relaxation.

Cell: 4.435 4.435 4.497 Å, 90.00 90.00 90.00°
Sites, in units of the cell vectors:
1 As 0.000 0.500 0.000
2 As 0.500 0.000 0.000
3 B 0.000 0.000 0.000
4 Se 0.000 0.000 0.500
5 Zr 0.500 0.500 0.500

Density (g/cm3): 6.21
Uncorrected formation energy (eV per atom): 0.36
Energy relative to the lowest polymorph listed for this composition (meV per atom): 0
Crystal system: tetragonal
Calculated total energy (Ry per atom): -0.3851
Size of the total moment (μB per cell): 0.00
Symmetry: P4/mmm (123)
DOS(E_F) (states/eV/atom): 0.913

(3)
A plane-wave DFT calculation with GGA-PBE was carried out for CeMgP after structural relaxation.

Cell: 4.093 4.093 9.048 Å, 76.93 76.93 60.00°
Sites, in units of the cell vectors:
1 Mg 0.297 0.297 0.110
2 Mg 0.703 0.703 0.890
3 Ce 0.136 0.136 0.591
4 Ce 0.864 0.864 0.409
5 P 0.401 0.401 0.798
6 P 0.599 0.599 0.202

Density (g/cm3): 5.12
Energy relative to the lowest polymorph listed for this composition (meV per atom): 0
Crystal system: trigonal
Calculated total energy (Ry per atom): -0.3638
Size of the total moment (μB per cell): 0.00
Energy relative to the elements (eV per atom): -0.64
Symmetry: R-3m (166)
DOS(E_F) (states/eV/atom): 1.039